Entry 1:
# Sn2MoH | Alexandria | PBE-GGA | relaxed
data_Sn2MoH
_symmetry_space_group_name_H-M 'F m -3 m'
_symmetry_Int_Tables_number 225
_symmetry_space_group_name_Hall '-F 4 2 3'
_cell_length_a 6.649
_cell_length_b 6.649
_cell_length_c 6.649
_cell_angle_alpha 90.00
_cell_angle_beta 90.00
_cell_angle_gamma 90.00
loop_
_atom_site_label
_atom_site_type_symbol
_atom_site_fract_x
_atom_site_fract_y
_atom_site_fract_z
Sn1 Sn 0.250 0.250 0.250
Mo1 Mo 0.000 0.000 0.000
H1 H 0.000 0.000 0.500
# Total magnetic moment, μB per formula unit: 2.10
# ΔE to the lowest computed polymorph, eV/f.u.: 1.38
# Total energy, eV/atom: -4.69

***

Entry 2:
# SnMo2H | Alexandria | PBE-GGA | relaxed
data_SnMo2H
_symmetry_space_group_name_H-M 'R -3 m'
_symmetry_Int_Tables_number 166
_symmetry_space_group_name_Hall '-R 3 2"'
_cell_length_a 3.0573
_cell_length_b 3.0573
_cell_length_c 20.3788
_cell_angle_alpha 90.00
_cell_angle_beta 90.00
_cell_angle_gamma 120.00
loop_
_atom_site_label
_atom_site_type_symbol
_atom_site_fract_x
_atom_site_fract_y
_atom_site_fract_z
Sn1 Sn 0.0000 0.0000 0.0000
Mo1 Mo 0.0000 0.0000 0.2190
H1 H 0.0000 0.0000 0.5000
# Total magnetic moment, μB per formula unit: 0.00
# ΔE to the lowest computed polymorph, eV/f.u.: 0.00
# Total energy, eV/atom: -7.12

***

- Among the records above, which one has the highest total energy?
  Sn2MoH